No. 1
Hf3BeMo | GGA-PBE | relaxed

Values from the calculation:
DFT total energy   -8.264 eV per atom
V   97.3 Å³/cell
Distance to the lowest polymorph of the same formula   0 meV/atom
Space group   No. 221
E_form   0.620 eV/atom
Density   10.9 g/cm³

Lattice parameters (Å, degrees): 4.600 4.600 4.600 90.00 90.00 90.00
Positions (direct):
1 Hf 0.000 0.000 0.500
2 Hf 0.000 0.500 0.000
3 Hf 0.500 0.000 0.000
4 Be 0.000 0.000 0.000
5 Mo 0.500 0.500 0.500

=====

No. 2
HoZrTcRh | GGA-PBE | relaxed

Values from the calculation:
DFT total energy   -8.216 eV per atom
V   299.0 Å³/cell
Space group   No. 216
E_form   -0.505 eV/atom
Density   10.2 g/cm³

Lattice parameters (Å, degrees): 6.687 6.687 6.687 90.00 90.00 90.00
Positions (direct):
1 Ho 0.000 0.000 0.000
2 Ho 0.000 0.500 0.500
3 Ho 0.500 0.000 0.500
4 Ho 0.500 0.500 0.000
5 Zr 0.000 0.000 0.500
6 Zr 0.000 0.500 0.000
7 Zr 0.500 0.000 0.000
8 Zr 0.500 0.500 0.500
9 Tc 0.250 0.250 0.750
10 Tc 0.250 0.750 0.250
11 Tc 0.750 0.250 0.250
12 Tc 0.750 0.750 0.750
13 Rh 0.250 0.250 0.250
14 Rh 0.250 0.750 0.750
15 Rh 0.750 0.250 0.750
16 Rh 0.750 0.750 0.250